## a
## TaBSeN2 (SCAN)

Data for a crystal of TaBSeN2 relaxed with PBEsol.

Structure (CIF):
```
data_TaBSeN2
_space_group_name_H-M_alt 'P 4/m m m'
_space_group_IT_number 123
_space_group_name_Hall '-P 4 2'
_cell_length_a 3.895
_cell_length_b 3.895
_cell_length_c 5.367
_cell_angle_alpha 90.00
_cell_angle_beta 90.00
_cell_angle_gamma 90.00
loop_
_atom_site_label
_atom_site_fract_x
_atom_site_fract_y
_atom_site_fract_z
Ta1 0.000 0.000 0.000
B1 0.500 0.500 0.500
Se1 0.000 0.000 0.500
N1 0.000 0.500 0.000
```



## b
## TaBSeN2 (SCAN)

Data for a crystal of TaBSeN2 relaxed with PBEsol.

Structure (CIF):
```
data_TaBSeN2
_space_group_name_H-M_alt 'P 4/m m m'
_space_group_IT_number 123
_space_group_name_Hall '-P 4 2'
_cell_length_a 3.571
_cell_length_b 3.571
_cell_length_c 4.200
_cell_angle_alpha 90.00
_cell_angle_beta 90.00
_cell_angle_gamma 90.00
loop_
_atom_site_label
_atom_site_fract_x
_atom_site_fract_y
_atom_site_fract_z
Ta1 0.000 0.000 0.000
B1 0.500 0.500 0.500
Se1 0.500 0.500 0.000
N1 0.000 0.500 0.500
```



Most stable: a